Entry from the Open Quantum Materials Database: a relaxed ReBAu2 crystal (PBE).

Summary:
**SG**: No. 216

Structure (extended XYZ):
```
4
Lattice="0.000 3.086 3.086 3.086 0.000 3.086 3.086 3.086 0.000" Properties=species:S:1:pos:R:3 pbc="T T T"
Au 0.000 0.000 0.000
Au 4.629 4.629 4.629
B 3.086 3.086 3.086
Re 1.543 1.543 1.543
```


Entry from the Open Quantum Materials Database: a relaxed ReTcBAu crystal (PBE).

Summary:
**SG**: No. 216

Structure (extended XYZ):
```
4
Lattice="0.000 3.032 3.032 3.032 0.000 3.032 3.032 3.032 0.000" Properties=species:S:1:pos:R:3 pbc="T T T"
Au 4.548 4.548 4.548
B 3.032 3.032 3.032
Re 1.516 1.516 1.516
Tc 0.000 0.000 0.000
```


Entry from the Open Quantum Materials Database: a relaxed ReTcBAu crystal (PBE).

Summary:
**SG**: No. 216

Structure (extended XYZ):
```
4
Lattice="-4.177 -0.508 -0.609 -2.651 3.265 0.621 -1.905 1.852 -3.319" Properties=species:S:1:pos:R:3 pbc="T T T"
Au -6.550 3.457 -2.481
B -2.183 1.152 -0.827
Re -4.367 2.305 -1.654
Tc 0.000 0.000 0.000
```


Entry from the Open Quantum Materials Database: a relaxed B4SbAu crystal (PBE).

Summary:
**SG**: No. 191

Structure (extended XYZ):
```
6
Lattice="3.063 0.000 0.000 -1.532 2.653 0.000 0.000 0.000 8.699" Properties=species:S:1:pos:R:3 pbc="T T T"
Au 0.000 0.000 4.349
B 1.532 0.884 2.307
B 0.000 1.769 2.307
B 1.532 0.884 6.392
B 0.000 1.769 6.392
Sb 0.000 0.000 0.000
```


Entry from the Open Quantum Materials Database: a relaxed B4SbAu crystal (PBE).

Summary:
**SG**: No. 71

Structure (extended XYZ):
```
6
Lattice="-1.546 2.618 4.415 1.546 -2.618 4.415 1.546 2.618 -4.415" Properties=species:S:1:pos:R:3 pbc="T T T"
Au 0.000 0.000 4.415
B 1.546 -0.893 2.174
B 0.000 1.725 2.241
B 0.000 3.512 2.241
B 1.546 0.893 2.174
Sb 0.000 0.000 0.000
```


Entry from the Open Quantum Materials Database: a relaxed BSbAu crystal (PBE).

Summary:
**SG**: No. 216

Structure (extended XYZ):
```
3
Lattice="-0.164 -2.634 3.512 -2.651 0.984 3.362 -3.580 -2.430 0.758" Properties=species:S:1:pos:R:3 pbc="T T T"
Au 0.000 0.000 0.000
B -1.599 -1.020 1.908
Sb -4.797 -3.060 5.723
```


Entry from the Open Quantum Materials Database: a relaxed Sc2BAu crystal (PBE).

Summary:
**SG**: No. 194

Structure (extended XYZ):
```
8
Lattice="3.600 0.000 0.000 -1.800 3.118 0.000 0.000 0.000 13.198" Properties=species:S:1:pos:R:3 pbc="T T T"
Au 1.800 1.039 3.300
Au 0.000 2.079 9.899
B 0.000 0.000 0.000
B 0.000 0.000 6.599
Sc 0.000 2.079 1.228
Sc 0.000 2.079 5.371
Sc 1.800 1.039 7.827
Sc 1.800 1.039 11.970
```


Entry from the Open Quantum Materials Database: a relaxed Sc2BAu crystal (PBE).

Summary:
**SG**: No. 216

Structure (extended XYZ):
```
4
Lattice="0.000 3.189 3.189 3.189 0.000 3.189 3.189 3.189 0.000" Properties=species:S:1:pos:R:3 pbc="T T T"
Au 1.595 1.595 1.595
B 3.189 3.189 3.189
Sc 0.000 0.000 0.000
Sc 4.784 4.784 4.784
```


Entry from the Open Quantum Materials Database: a relaxed Sc4B3Au crystal (PBE).

Summary:
**SG**: No. 194

Structure (extended XYZ):
```
16
Lattice="3.340 0.000 0.000 -1.670 2.892 0.000 0.000 0.000 27.158" Properties=species:S:1:pos:R:3 pbc="T T T"
Au 0.000 1.928 6.789
Au 1.670 0.964 20.368
B 0.000 0.000 0.000
B 1.670 0.964 3.189
B 1.670 0.964 10.390
B 0.000 0.000 13.579
B 0.000 1.928 16.767
B 0.000 1.928 23.969
Sc 0.000 1.928 1.566
Sc 0.000 0.000 4.583
Sc 0.000 0.000 8.996
Sc 0.000 1.928 12.013
Sc 1.670 0.964 15.145
Sc 0.000 0.000 18.162
Sc 0.000 0.000 22.574
Sc 1.670 0.964 25.592
```


Entry from the Open Quantum Materials Database: a relaxed ScB2Au crystal (PBE).

Summary:
**SG**: No. 216

Structure (extended XYZ):
```
4
Lattice="2.127 1.228 3.474 -2.127 1.228 3.474 0.000 -2.456 3.474" Properties=species:S:1:pos:R:3 pbc="T T T"
Au 0.000 0.000 2.605
B 0.000 0.000 5.211
B 0.000 0.000 7.816
Sc 0.000 0.000 0.000
```


Entry from the Open Quantum Materials Database: a relaxed ScB4Au crystal (PBE).

Summary:
**SG**: No. 71

Structure (extended XYZ):
```
6
Lattice="-1.572 2.581 3.821 1.572 -2.581 3.821 1.572 2.581 -3.821" Properties=species:S:1:pos:R:3 pbc="T T T"
Au 0.000 0.000 3.821
B 0.000 1.634 2.081
B 1.572 -0.947 1.740
B 0.000 3.528 2.081
B 1.572 0.947 1.740
Sc 0.000 0.000 0.000
```


Entry from the Open Quantum Materials Database: a relaxed ScB4Au crystal (PBE).

Summary:
**SG**: No. 191

Structure (extended XYZ):
```
6
Lattice="3.153 0.000 0.000 -1.577 2.731 0.000 0.000 0.000 7.022" Properties=species:S:1:pos:R:3 pbc="T T T"
Au 0.000 0.000 0.000
B 1.577 0.910 1.857
B 0.000 1.821 1.857
B 1.577 0.910 5.165
B 0.000 1.821 5.165
Sc 0.000 0.000 3.511
```


Entry from the Open Quantum Materials Database: a relaxed Si2BAu crystal (PBE).

Summary:
**SG**: No. 216

Structure (extended XYZ):
```
4
Lattice="0.514 -2.719 3.339 -3.319 -2.455 1.328 0.062 -4.282 -0.681" Properties=species:S:1:pos:R:3 pbc="T T T"
Au -0.686 -2.364 0.997
B -1.372 -4.728 1.993
Si 0.000 0.000 0.000
Si -2.057 -7.092 2.990
```


Entry from the Open Quantum Materials Database: a relaxed SiB2Au crystal (PBE).

Summary:
**SG**: No. 216

Structure (extended XYZ):
```
4
Lattice="1.407 -1.626 3.555 -2.014 -3.170 1.775 1.700 -3.790 0.021" Properties=species:S:1:pos:R:3 pbc="T T T"
Au 0.547 -4.293 2.676
B 0.000 0.000 0.000
B 0.273 -2.147 1.338
Si 0.820 -6.440 4.013
```


Entry from the Open Quantum Materials Database: a relaxed SiB4Au crystal (PBE).

Summary:
**SG**: No. 71

Structure (extended XYZ):
```
6
Lattice="-1.544 2.675 3.576 1.544 -2.675 3.576 1.544 2.675 -3.576" Properties=species:S:1:pos:R:3 pbc="T T T"
Au 0.000 0.000 0.000
B 0.000 1.767 1.695
B 1.544 -0.909 1.881
B 0.000 3.584 1.695
B 1.544 0.909 1.881
Si 0.000 0.000 3.576
```


Entry from the Open Quantum Materials Database: a relaxed SiB4Au crystal (PBE).

Summary:
**SG**: No. 191

Structure (extended XYZ):
```
6
Lattice="2.982 0.000 0.000 -1.491 2.583 0.000 0.000 0.000 7.669" Properties=species:S:1:pos:R:3 pbc="T T T"
Au 0.000 0.000 3.834
B 1.491 0.861 1.570
B 0.000 1.722 1.570
B 1.491 0.861 6.099
B 0.000 1.722 6.099
Si 0.000 0.000 0.000
```


Entry from the Open Quantum Materials Database: a relaxed SmB4Au crystal (PBE).

Summary:
**SG**: No. 191

Structure (extended XYZ):
```
6
Lattice="-1.258 -1.137 -2.778 -0.076 -1.830 2.691 -6.577 2.906 1.790" Properties=species:S:1:pos:R:3 pbc="T T T"
Au -3.289 1.453 0.895
B -2.589 -0.606 -0.486
B -2.195 -0.837 1.337
B -5.717 0.775 0.365
B -5.323 0.545 2.188
Sm 0.000 0.000 0.000
```


Entry from the Open Quantum Materials Database: a relaxed SmB4Au crystal (PBE).

Summary:
**SG**: No. 71

Structure (extended XYZ):
```
6
Lattice="-1.597 2.657 4.197 1.597 -2.657 4.197 1.597 2.657 -4.197" Properties=species:S:1:pos:R:3 pbc="T T T"
Au 0.000 0.000 0.000
B 0.000 1.675 1.970
B 1.597 -0.983 2.226
B 0.000 3.640 1.970
B 1.597 0.983 2.226
Sm 0.000 0.000 4.197
```


Entry from the Open Quantum Materials Database: a relaxed SmBAu crystal (PBE).

Summary:
**SG**: No. 216

Structure (extended XYZ):
```
3
Lattice="0.000 3.065 3.065 3.065 0.000 3.065 3.065 3.065 0.000" Properties=species:S:1:pos:R:3 pbc="T T T"
Au 1.532 1.532 1.532
B 0.000 0.000 0.000
Sm 4.597 4.597 4.597
```


Entry from the Open Quantum Materials Database: a relaxed SmBAu crystal (PBE).

Summary:
**SG**: No. 216

Structure (extended XYZ):
```
3
Lattice="0.000 3.272 3.272 3.272 0.000 3.272 3.272 3.272 0.000" Properties=species:S:1:pos:R:3 pbc="T T T"
Au 1.636 1.636 1.636
B 4.907 4.907 4.907
Sm 0.000 0.000 0.000
```


Entry from the Open Quantum Materials Database: a relaxed SnB2Au crystal (PBE).

Summary:
**SG**: No. 216

Structure (extended XYZ):
```
4
Lattice="0.000 3.154 3.154 3.154 0.000 3.154 3.154 3.154 0.000" Properties=species:S:1:pos:R:3 pbc="T T T"
Au 1.577 1.577 1.577
B 0.000 0.000 0.000
B 4.732 4.732 4.732
Sn 3.154 3.154 3.154
```


Entry from the Open Quantum Materials Database: a relaxed SnB4Au crystal (PBE).

Summary:
**SG**: No. 71

Structure (extended XYZ):
```
6
Lattice="-1.534 2.623 4.461 1.534 -2.623 4.461 1.534 2.623 -4.461" Properties=species:S:1:pos:R:3 pbc="T T T"
Au 0.000 0.000 0.000
B 0.000 1.737 2.200
B 1.534 -0.886 2.262
B 0.000 3.509 2.200
B 1.534 0.886 2.262
Sn 0.000 0.000 4.461
```


Entry from the Open Quantum Materials Database: a relaxed SnB4Au crystal (PBE).

Summary:
**SG**: No. 191

Structure (extended XYZ):
```
6
Lattice="-2.376 1.714 0.887 1.737 -1.407 2.091 5.184 6.985 0.394" Properties=species:S:1:pos:R:3 pbc="T T T"
Au 0.000 0.000 0.000
B 0.205 2.304 1.380
B 1.576 1.263 1.782
B 2.969 6.028 1.591
B 4.340 4.988 1.992
Sn 2.592 3.492 0.197
```


Entry from the Open Quantum Materials Database: a relaxed Sn2BAu crystal (PBE).

Summary:
**SG**: No. 216

Structure (extended XYZ):
```
4
Lattice="0.000 3.446 3.446 3.446 0.000 3.446 3.446 3.446 0.000" Properties=species:S:1:pos:R:3 pbc="T T T"
Au 1.723 1.723 1.723
B 3.446 3.446 3.446
Sn 0.000 0.000 0.000
Sn 5.169 5.169 5.169
```


Entry from the Open Quantum Materials Database: a relaxed SrB4Au crystal (PBE).

Summary:
**SG**: No. 191

Structure (extended XYZ):
```
6
Lattice="3.227 0.000 0.000 -1.613 2.795 0.000 0.000 0.000 7.781" Properties=species:S:1:pos:R:3 pbc="T T T"
Au 0.000 0.000 0.000
B 1.613 0.932 1.756
B 0.000 1.863 1.756
B 1.613 0.932 6.025
B 0.000 1.863 6.025
Sr 0.000 0.000 3.891
```


Entry from the Open Quantum Materials Database: a relaxed SrB4Au crystal (PBE).

Summary:
**SG**: No. 71

Structure (extended XYZ):
```
6
Lattice="-1.577 2.684 4.438 1.577 -2.684 4.438 1.577 2.684 -4.438" Properties=species:S:1:pos:R:3 pbc="T T T"
Au 0.000 0.000 0.000
B 0.000 1.686 2.157
B 1.577 -0.998 2.281
B 0.000 3.682 2.157
B 1.577 0.998 2.281
Sr 0.000 0.000 4.438
```


Entry from the Open Quantum Materials Database: a relaxed Sr2BAu crystal (PBE).

Summary:
**SG**: No. 216

Structure (extended XYZ):
```
4
Lattice="-4.578 -1.974 -0.157 -3.519 1.608 3.148 -3.826 2.706 -1.708" Properties=species:S:1:pos:R:3 pbc="T T T"
Au -5.961 1.170 0.642
B -8.942 1.755 0.962
Sr 0.000 0.000 0.000
Sr -2.981 0.585 0.321
```


Entry from the Open Quantum Materials Database: a relaxed SrZnBAu crystal (PBE).

Summary:
**SG**: No. 216

Structure (extended XYZ):
```
4
Lattice="0.000 3.312 3.312 3.312 0.000 3.312 3.312 3.312 0.000" Properties=species:S:1:pos:R:3 pbc="T T T"
Au 4.968 4.968 4.968
B 3.312 3.312 3.312
Sr 1.656 1.656 1.656
Zn 0.000 0.000 0.000
```


Short version: total energy = -5.229; -7.148; -7.329; -5.008; -5.013; -3.644; -6.006; -5.317; -6.160; -4.925; -6.204; -6.136; -4.163; -3.968; -5.260; -5.371; -5.648; -5.787; -4.938; -4.252; -3.550; -5.046; -5.047; -3.553; -4.888; -4.982; -2.892; -2.825 eV per atom, in the order given.